This record from Alexandria describes an optimized crystal structure of KBi2Au. The functional is PBE-GGA.

Calculated values
spin magnetization: 0.0 Bohr magnetons per cell
energy above the most stable polymorph in this dataset: 0.2896 eV/atom
V: 450.5 Å³/cell
energy: -47.74 eV/cell
crystal system: cubic
E_form: 50 meV/atom

Cell lengths 7.6662, 7.6662, 7.6662 Å; angles 90.00, 90.00, 90.00 degrees
Last column: nearest neighbours and their distance in Å.
Space group Fm-3m (No. 225)
Inequivalent atoms, fractional coordinates:
1 K 0.0000 0.0000 0.0000 x4  8 Bi 3.32
2 Bi 0.2500 0.2500 0.2500 x8  4 K 3.32, 4 Au 3.32
3 Au 0.0000 0.0000 0.5000 x4  8 Bi 3.32